A relaxed CePr2HoEr crystal, computed with GGA-PBE.

Cell lengths 6.079, 6.830, 8.118 Å; angles 90.00, 90.00, 90.00 degrees
Space group Pmma (No. 51)
Unique sites:
Ce 0.000 0.000 0.000 [2 per cell]
Pr 0.250 0.268 0.311 [4 per cell]
Ho 0.250 0.500 0.875 [2 per cell]
Er 0.250 0.000 0.643 [2 per cell]

Computed properties:
Formation energy ... 276 meV per atom